No. 1
AlTlI2 (GGA-PBE, optimized geometry); raw formation energy = -0.215 eV/atom; offset from the most stable computed form = 0.0000 eV per atom; space-group type = No. 225
1.0
0.0000 4.1634 4.1634
4.1634 0.0000 4.1634
4.1634 4.1634 0.0000
Al Tl I
1 1 2
direct
0.0000 0.0000 0.0000
0.5000 0.5000 0.5000
0.2500 0.2500 0.2500
0.7500 0.7500 0.7500

No. 2
Al2Tl2I (GGA-PBE, optimized geometry); raw formation energy = 0.155 eV/atom; offset from the most stable computed form = 0.0289 eV per atom; space-group type = No. 127
1.0
8.5101 0.0000 0.0000
0.0000 8.5101 0.0000
0.0000 0.0000 3.8700
Al Tl I
4 4 2
direct
0.1130 0.3870 0.0000
0.3870 0.8870 0.0000
0.6130 0.1130 0.0000
0.8870 0.6130 0.0000
0.1893 0.6893 0.5000
0.3107 0.1893 0.5000
0.6893 0.8107 0.5000
0.8107 0.3107 0.5000
0.0000 0.0000 0.0000
0.5000 0.5000 0.0000

No. 3
Al2TlI (GGA-PBE, optimized geometry); raw formation energy = 0.327 eV/atom; offset from the most stable computed form = 0.0000 eV per atom; space-group type = No. 122
1.0
-3.2481 3.2481 6.7412
3.2481 -3.2481 6.7412
3.2481 3.2481 -6.7412
Al Tl I
4 2 2
direct
0.0742 0.6250 0.9492
0.3750 0.3242 0.4492
0.6758 0.1250 0.0508
0.8750 0.9258 0.5508
0.0000 0.0000 0.0000
0.7500 0.2500 0.5000
0.2500 0.7500 0.5000
0.5000 0.5000 0.0000

No. 4
AlTlI3 (GGA-PBE, optimized geometry); raw formation energy = 0.021 eV/atom; offset from the most stable computed form = 0.6067 eV per atom; space-group type = No. 221
1.0
6.1617 0.0000 0.0000
0.0000 6.1617 0.0000
0.0000 0.0000 6.1617
Al Tl I
1 1 3
direct
0.0000 0.0000 0.0000
0.5000 0.5000 0.5000
0.0000 0.5000 0.5000
0.5000 0.0000 0.5000
0.5000 0.5000 0.0000

No. 5
Al3TlI (GGA-PBE, optimized geometry); raw formation energy = 0.651 eV/atom; offset from the most stable computed form = 0.0000 eV per atom; space-group type = No. 221
1.0
5.4867 0.0000 0.0000
0.0000 5.4867 0.0000
0.0000 0.0000 5.4867
Al Tl I
3 1 1
direct
0.0000 0.0000 0.5000
0.0000 0.5000 0.0000
0.5000 0.0000 0.0000
0.0000 0.0000 0.0000
0.5000 0.5000 0.5000

No. 6
AlTlI3 (GGA-PBE, optimized geometry); raw formation energy = -0.586 eV/atom; offset from the most stable computed form = 0.0000 eV per atom; space-group type = No. 2
1.0
7.1270 0.0000 0.0000
-1.0418 8.7500 0.0000
-3.0156 -4.3576 8.0211
Al Tl I
2 2 6
direct
0.0446 0.3647 0.0001
0.9554 0.6353 0.9999
0.3248 0.8253 0.6501
0.6752 0.1747 0.3499
0.0972 0.1801 0.7298
0.2535 0.8469 0.0004
0.3649 0.4494 0.2706
0.6351 0.5506 0.7294
0.7465 0.1531 0.9996
0.9028 0.8199 0.2702

No. 7
AlTl3I6 (GGA-PBE, optimized geometry); raw formation energy = -0.609 eV/atom; offset from the most stable computed form = 0.0543 eV per atom; space-group type = No. 14
1.0
8.0194 0.0000 0.0000
0.0000 8.9095 0.0000
-7.1407 0.0000 11.6354
Al Tl I
2 6 12
direct
0.0000 0.0000 0.0000
0.0000 0.5000 0.5000
0.3052 0.0878 0.7647
0.3052 0.4122 0.2647
0.5000 0.0000 0.5000
0.5000 0.5000 0.0000
0.6948 0.5878 0.7353
0.6948 0.9122 0.2353
0.0948 0.0538 0.2235
0.0948 0.4462 0.7235
0.2246 0.7343 0.0720
0.2246 0.7657 0.5720
0.3283 0.1630 0.0405
0.3283 0.3370 0.5405
0.6717 0.6630 0.4595
0.6717 0.8370 0.9595
0.7754 0.2343 0.4280
0.7754 0.2657 0.9280
0.9052 0.5538 0.2765
0.9052 0.9462 0.7765

No. 8
Al2TlI8 (GGA-PBE, optimized geometry); raw formation energy = -0.572 eV/atom; offset from the most stable computed form = 0.0000 eV per atom; space-group type = No. 12
1.0
7.1614 -5.5679 0.0000
7.1614 5.5679 0.0000
-1.1255 0.0000 7.1675
Al Tl I
2 1 8
direct
0.2014 0.2014 0.1611
0.7986 0.7986 0.8389
0.0000 0.0000 0.5000
0.0730 0.6989 0.7411
0.1982 0.1982 0.8027
0.3011 0.9270 0.2589
0.3750 0.3750 0.2945
0.6250 0.6250 0.7055
0.6989 0.0730 0.7411
0.8018 0.8018 0.1973
0.9270 0.3011 0.2589

Number 1: spin magnetization 0.00 μB per formula unit. Number 2: spin magnetization 0.00 μB per formula unit. Number 3: spin magnetization 0.00 μB per formula unit. Number 4: spin magnetization 0.00 μB per formula unit. Number 5: spin magnetization 0.00 μB per formula unit. Number 6: spin magnetization 0.00 μB per formula unit. Number 7: spin magnetization 0.00 μB per formula unit. Number 8: spin magnetization 0.00 μB per formula unit.